# SiTe2O

A relaxed structure of SiTe2O (PBE, Alexandria).

Lattice parameters (Å, degrees): 6.6074 6.6074 8.2768 90.00 90.00 90.00
Last column: nearest neighbours and their distance in Å.
Space group I-42d (No. 122)
Unique sites:
Si 0.0000 0.0000 0.0000 (multiplicity 4)  4 Te 2.69
Te 0.2187 0.2500 0.6250 (multiplicity 8)  2 O 2.43, 2 Si 2.69
O 0.0000 0.0000 0.5000 (multiplicity 4)  4 Te 2.43

Summary:
* mass density: 5501 kg/m3
* excess energy over the best structure of this formula in the dataset: 0.1714 eV per atom
* uncorrected energy: -63.2 eV/cell

# MgIn3Tc

A relaxed structure of MgIn3Tc (PBE, Alexandria).

Lattice parameters (Å, degrees): 5.2137 5.2137 5.2137 90.00 90.00 90.00
Last column: nearest neighbours and their distance in Å.
Space group Pm-3m (No. 221)
Unique sites:
Mg 0.0000 0.0000 0.0000 (multiplicity 1)  12 In 3.69
In 0.0000 0.5000 0.5000 (multiplicity 3)  2 Tc 2.61
Tc 0.5000 0.5000 0.5000 (multiplicity 1)  6 In 2.61

Summary:
* ΔH_f (0 K): 0.369 eV per atom
* mass density: 5469 kg/m3
* excess energy over the best structure of this formula in the dataset: 0.0000 eV per atom
* uncorrected energy: -18.3 eV/cell

# AlHgW2

A relaxed structure of AlHgW2 (PBE, Alexandria).

Lattice parameters (Å, degrees): 3.4132 4.5926 8.6501 90.00 90.00 90.00
Last column: nearest neighbours and their distance in Å.
Space group Imm2 (No. 44)
Unique sites:
Al 0.0000 0.0000 0.0000 (multiplicity 2)  2 Hg 2.75, 6 W 2.77-2.87
Hg 0.0000 0.5000 0.7490 (multiplicity 2)  2 Al 2.75, 8 W 2.86-3.03
W 0.0000 0.0000 0.5201 (multiplicity 2)  2 W 2.61, 4 Al 2.87, 2 Hg 2.90
W 0.0000 0.5000 0.2484 (multiplicity 2)  2 W 2.61, 2 Al 2.77, 4 Hg 2.86

Summary:
* ΔH_f (0 K): 0.486 eV per atom
* mass density: 14579 kg/m3
* excess energy over the best structure of this formula in the dataset: 0.1478 eV per atom
* uncorrected energy: -56.0 eV/cell

# BC2

A relaxed structure of BC2 (PBE, Alexandria).

Lattice parameters (Å, degrees): 2.5139 2.5139 12.0155 90.00 90.00 90.00
Last column: nearest neighbours and their distance in Å.
Space group I4_1/amd (No. 141, origin choice 2)
Unique sites:
B 0.0000 0.2500 0.3750 (multiplicity 4)  4 C 1.66
C 0.0000 0.2500 0.0342 (multiplicity 8)  2 C 1.50, 2 B 1.66

Summary:
* ΔH_f (0 K): 0.255 eV per atom
* mass density: 3047 kg/m3
* excess energy over the best structure of this formula in the dataset: 0.0151 eV per atom
* uncorrected energy: -97.4 eV/cell